1.
GGA-PBE PmZn2GaCu4, relaxed; crystal system = trigonal; total moment = 0.000 Bohr magnetons per cell; volume = 16.18 Å³ per atom; energy of formation = -0.15 eV/atom
1.0
-0.8737 3.8730 1.3556
-2.2358 0.5398 3.5086
6.1260 1.4900 6.1827
Pm Zn Ga Cu
1 2 1 4
Cartesian
0.0000 0.0000 0.0000
2.1209 4.4267 8.1952
0.8956 1.4761 2.8518
1.5083 2.9514 5.5235
3.5639 2.9569 6.8326
-0.2984 4.4203 6.6545
3.3149 1.4825 4.3925
-0.5474 2.9459 4.2144


2.
GGA-PBE KLiCrSe3, relaxed; uncorrected formation energy = -0.83 eV per atom; crystal system = monoclinic; total moment = 4.558 Bohr magnetons per cell; volume = 23.54 Å³ per atom
1.0
-3.4711 -1.4009 0.5000
2.3434 -3.1589 7.4171
-3.5726 9.0433 0.5356
K Li Cr Se
2 2 2 6
Cartesian
-3.4311 3.1337 6.3520
-1.2693 1.3498 2.1008
-2.8466 4.8778 1.0352
-1.8537 -0.3942 7.4176
0.1744 -1.0968 5.2678
-4.8748 5.5804 3.1850
-0.6510 1.1767 5.9074
-1.0285 -2.6231 6.9020
-1.9725 -1.3564 3.8976
-4.0494 3.3068 2.5453
-2.7279 5.8399 4.5551
-3.6719 7.1066 1.5508


3.
GGA-PBE Sn6AuSe3S2, relaxed; uncorrected formation energy = -0.35 eV per atom; crystal system = monoclinic; total moment = 0.000 Bohr magnetons per cell; volume = 25.70 Å³ per atom
1.0
-4.6842 -4.6577 -2.9836
6.8913 -1.9676 1.0846
-2.3489 -0.1551 6.7860
Sn Au Se S
6 1 3 2
Cartesian
-2.0350 -5.5817 3.1008
1.0973 -5.0181 0.1961
1.8932 -1.1987 1.7863
1.7736 -4.6966 4.4393
-1.2391 -1.7623 4.6910
-1.9154 -2.0838 0.4477
0.0000 0.0000 0.0000
3.7171 -2.5099 3.7748
-3.8589 -4.2705 1.1122
-0.0709 -3.3902 2.4435
3.0119 -2.8692 -0.2788
-0.8049 -3.7562 -1.6202


4.
GGA-PBE LiBeSn, relaxed; crystal system = triclinic; total moment = 0.000 Bohr magnetons per cell; volume = 16.96 Å³ per atom; energy of formation = 0.00 eV/atom
1.0
-1.9517 3.6832 1.2391
-4.1041 -0.1263 1.5330
1.3069 1.2140 6.2969
Li Be Sn
2 2 2
Cartesian
-1.8238 1.1020 1.4588
-2.9251 3.6690 7.6102
-1.5455 2.6136 5.3463
-3.2034 2.1574 3.7227
-3.4693 1.3016 6.2009
-1.2796 3.4694 2.8680